1.
{
  "formula": "Te3ClO",
  "functional": "GGA-PBE",
  "state": "relaxed",
  "raw_formation_energy_mev_per_atom": 283,
  "total_magnetization_mub_per_cell": 0.0,
  "e_tot_ev_per_fu": -14.81,
  "vol_a3_per_cell": 115.2,
  "lattice_angstrom": [[4.866, 0.000, 0.000], [0.000, 4.866, 0.000], [0.000, 0.000, 4.866]],
  "species": ["Te", "Te", "Te", "Cl", "O"],
  "fractional_positions": [[0.500, 0.000, 0.000], [0.000, 0.000, 0.500], [0.000, 0.500, 0.000], [0.500, 0.500, 0.500], [0.000, 0.000, 0.000]]
}

2.
{
  "formula": "Te2ClO2",
  "functional": "GGA-PBE",
  "state": "relaxed",
  "raw_formation_energy_mev_per_atom": -497,
  "total_magnetization_mub_per_cell": 0.0,
  "e_tot_ev_per_fu": -20.53,
  "vol_a3_per_cell": 116.2,
  "lattice_angstrom": [[-1.841, -4.262, 0.067], [4.618, 0.475, 0.065], [-1.381, 1.884, 6.113]],
  "species": ["O", "O", "Cl", "Te", "Te"],
  "fractional_positions": [[0.157, 0.843, 0.500], [0.843, 0.157, 0.500], [0.000, 0.000, 0.000], [0.343, 0.343, 0.659], [0.657, 0.657, 0.341]]
}

3.
{
  "formula": "Te2ClO",
  "functional": "GGA-PBE",
  "state": "relaxed",
  "raw_formation_energy_mev_per_atom": -211,
  "total_magnetization_mub_per_cell": 0.0,
  "e_tot_ev_per_fu": -13.93,
  "vol_a3_per_cell": 89.1,
  "lattice_angstrom": [[-8.908, -0.793, 1.715], [-7.603, -1.566, 4.760], [-8.061, 1.689, 3.883]],
  "species": ["Te", "Te", "Cl", "O"],
  "fractional_positions": [[0.926, 0.926, 0.926], [0.074, 0.074, 0.074], [0.500, 0.500, 0.500], [0.000, 0.000, 0.000]]
}

4.
{
  "formula": "TeClO2",
  "functional": "GGA-PBE",
  "state": "relaxed",
  "raw_formation_energy_mev_per_atom": -344,
  "total_magnetization_mub_per_cell": 1.0,
  "e_tot_ev_per_fu": -16.28,
  "vol_a3_per_cell": 187.7,
  "lattice_angstrom": [[6.418, 0.000, 0.000], [0.000, 6.418, 0.000], [3.209, 3.209, 4.557]],
  "species": ["Te", "Te", "O", "O", "O", "O", "Cl", "Cl"],
  "fractional_positions": [[0.750, 0.250, 0.500], [0.000, 0.000, 0.000], [0.875, 0.124, 0.750], [0.375, 0.126, 0.750], [0.876, 0.625, 0.250], [0.874, 0.125, 0.250], [0.250, 0.750, 0.500], [0.500, 0.500, 0.000]]
}

5.
{
  "formula": "Te2ClO4",
  "functional": "GGA-PBE",
  "state": "relaxed",
  "raw_formation_energy_mev_per_atom": -835,
  "total_magnetization_mub_per_cell": 0.0,
  "e_tot_ev_per_fu": -33.81,
  "vol_a3_per_cell": 301.0,
  "lattice_angstrom": [[7.626, 0.758, 0.465], [0.243, 7.760, -0.485], [-3.206, -4.970, 5.207]],
  "species": ["O", "O", "O", "O", "O", "O", "O", "O", "Te", "Te", "Te", "Te", "Cl", "Cl"],
  "fractional_positions": [[0.595, 0.196, 0.936], [0.336, 0.700, 0.096], [0.552, 0.552, 0.833], [0.782, 0.739, 0.293], [0.590, 0.113, 0.523], [0.413, 0.989, 0.042], [0.920, 0.542, 0.853], [0.785, 0.094, 0.278], [0.582, 0.864, 0.187], [0.602, 0.284, 0.227], [0.125, 0.414, 0.757], [0.757, 0.402, 0.914], [0.178, 0.288, 0.006], [0.034, 0.573, 0.553]]
}

6.
{
  "formula": "Te2ClO",
  "functional": "GGA-PBE",
  "state": "relaxed",
  "raw_formation_energy_mev_per_atom": -107,
  "total_magnetization_mub_per_cell": 0.0,
  "e_tot_ev_per_fu": -13.51,
  "vol_a3_per_cell": 209.3,
  "lattice_angstrom": [[5.287, 0.000, 0.000], [0.000, 5.287, 0.000], [2.643, 2.643, 7.488]],
  "species": ["Cl", "Cl", "Te", "Te", "Te", "Te", "O", "O"],
  "fractional_positions": [[0.000, 0.000, 0.000], [0.750, 0.250, 0.500], [0.875, 0.740, 0.750], [0.375, 0.510, 0.750], [0.490, 0.125, 0.250], [0.260, 0.625, 0.250], [0.250, 0.750, 0.500], [0.500, 0.500, 0.000]]
}

7.
{
  "formula": "Te2Cl3O3",
  "functional": "GGA-PBE",
  "state": "relaxed",
  "raw_formation_energy_mev_per_atom": -381,
  "total_magnetization_mub_per_cell": 2.1,
  "e_tot_ev_per_fu": -29.75,
  "vol_a3_per_cell": 346.3,
  "lattice_angstrom": [[-2.827, 2.038, 1.085], [3.064, -2.320, 6.199], [7.897, 10.868, 0.163]],
  "species": ["Te", "Te", "Te", "Te", "Cl", "Cl", "Cl", "Cl", "Cl", "Cl", "O", "O", "O", "O", "O", "O"],
  "fractional_positions": [[0.731, 0.463, 0.611], [0.269, 0.537, 0.111], [0.731, 0.463, 0.889], [0.269, 0.537, 0.389], [0.094, 0.188, 0.903], [0.906, 0.812, 0.097], [0.347, 0.695, 0.750], [0.906, 0.812, 0.403], [0.094, 0.188, 0.597], [0.653, 0.305, 0.250], [0.665, 0.331, 0.750], [0.698, 0.396, 0.043], [0.335, 0.669, 0.250], [0.698, 0.396, 0.457], [0.302, 0.604, 0.543], [0.302, 0.604, 0.957]]
}

8.
{
  "formula": "TeClO2",
  "functional": "GGA-PBE",
  "state": "relaxed",
  "raw_formation_energy_mev_per_atom": 420,
  "total_magnetization_mub_per_cell": 0.7,
  "e_tot_ev_per_fu": -13.22,
  "vol_a3_per_cell": 52.0,
  "lattice_angstrom": [[0.000, 2.963, 2.963], [2.963, 0.000, 2.963], [2.963, 2.963, 0.000]],
  "species": ["Cl", "Te", "O", "O"],
  "fractional_positions": [[0.000, 0.000, 0.000], [0.500, 0.500, 0.500], [0.250, 0.250, 0.250], [0.750, 0.750, 0.750]]
}